Record 1
Density functional theory data (GGA-PBE) for NdIn3Pd after structural relaxation.

Values from the calculation:
Total magnetic moment in Bohr magnetons per cell: 0.00

Cell: 4.5104 9.0759 11.7875 Å, 90.00 90.00 90.00°
Last column: nearest neighbours and their distance in Å.
Fractional positions:
1 Nd 0.7500 0.8077 0.0104  8 In 3.27-3.58, 2 Pd 3.47
2 Nd 0.2500 0.6923 0.5104  8 In 3.27-3.58, 2 Pd 3.47
3 Nd 0.7500 0.3077 0.4896  8 In 3.27-3.58, 2 Pd 3.47
4 Nd 0.2500 0.1923 0.9896  8 In 3.27-3.58, 2 Pd 3.47
5 In 0.2500 0.5660 0.0870  3 Pd 2.75-2.79, 2 In 3.02-3.05
6 In 0.7500 0.4340 0.9130  3 Pd 2.75-2.79, 2 In 3.02-3.05
7 In 0.2500 0.0660 0.4130  3 Pd 2.75-2.79, 2 In 3.02-3.05
8 In 0.7500 0.9340 0.5870  3 Pd 2.75-2.79, 2 In 3.02-3.05
9 In 0.2500 0.3907 0.6897  2 Pd 2.70-2.71
10 In 0.7500 0.1093 0.1897  2 Pd 2.70-2.71
11 In 0.2500 0.8907 0.8103  2 Pd 2.70-2.71
12 In 0.7500 0.6395 0.7113  2 Pd 2.84, 2 In 3.02-3.05
13 In 0.2500 0.3605 0.2887  2 Pd 2.84, 2 In 3.02-3.05
14 In 0.7500 0.1395 0.7887  2 Pd 2.84, 2 In 3.02-3.05
15 In 0.7500 0.6093 0.3103  2 Pd 2.70-2.71
16 In 0.2500 0.8605 0.2113  2 Pd 2.84, 2 In 3.02-3.05
17 Pd 0.2500 0.0990 0.6453  7 In 2.70-2.84
18 Pd 0.2500 0.5990 0.8547  7 In 2.70-2.84
19 Pd 0.7500 0.4010 0.1453  7 In 2.70-2.84
20 Pd 0.7500 0.9010 0.3547  7 In 2.70-2.84

=====

Record 2
Density functional theory data (GGA-PBE) for NdIn3Pd after structural relaxation.

Values from the calculation:
Total magnetic moment in Bohr magnetons per cell: 0.00

Cell: 5.8183 9.6784 8.9124 Å, 90.00 90.00 90.00°
Last column: nearest neighbours and their distance in Å.
Fractional positions:
1 Nd 0.4997 0.5029 0.7500  7 In 3.30-3.33, 4 Pd 3.66-3.67
2 Nd 0.0003 0.0029 0.2500  7 In 3.30-3.33, 4 Pd 3.66-3.67
3 Nd 0.5003 0.4971 0.2500  7 In 3.30-3.33, 4 Pd 3.66-3.67
4 Nd 0.9997 0.9971 0.7500  7 In 3.30-3.33, 4 Pd 3.66-3.67
5 In 0.7501 0.2499 0.0467  2 Pd 2.85, 4 In 2.91-3.15
6 In 0.7499 0.7499 0.5467  2 Pd 2.85, 4 In 2.91-3.15
7 In 0.7499 0.7499 0.9533  2 Pd 2.85, 4 In 2.91-3.15
8 In 0.2499 0.7501 0.5467  2 Pd 2.85, 4 In 2.91-3.15
9 In 0.2499 0.7501 0.9533  2 Pd 2.85, 4 In 2.91-3.15
10 In 0.2501 0.2501 0.4533  2 Pd 2.85, 4 In 2.91-3.15
11 In 0.2501 0.2501 0.0467  2 Pd 2.85, 4 In 2.91-3.15
12 In 0.7501 0.2499 0.4533  2 Pd 2.85, 4 In 2.91-3.15
13 In 0.4997 0.1589 0.7500  2 Pd 2.71
14 In 0.0003 0.6589 0.2500  2 Pd 2.71
15 In 0.5003 0.8411 0.2500  2 Pd 2.71
16 In 0.9997 0.3411 0.7500  2 Pd 2.71
17 Pd 0.0000 0.5000 0.0000  6 In 2.71-2.85
18 Pd 0.5000 0.0000 0.5000  6 In 2.71-2.85
19 Pd 0.5000 0.0000 0.0000  6 In 2.71-2.85
20 Pd 0.0000 0.5000 0.5000  6 In 2.71-2.85

=====

Record 3
Density functional theory data (GGA-PBE) for NdIn3Pd3 after structural relaxation.

Values from the calculation:
Total magnetic moment in Bohr magnetons per cell: 0.00

Cell: 8.2077 8.2077 7.2865 Å, 55.72 55.72 60.00°
Last column: nearest neighbours and their distance in Å.
Fractional positions:
1 Nd 0.3304 0.3304 0.0089  6 Pd 2.98-3.04
2 Nd 0.6696 0.6696 0.9911  6 Pd 2.98-3.04
3 In 0.4352 0.7969 0.6403  4 Pd 2.74-2.83
4 In 0.7969 0.1277 0.6403  4 Pd 2.74-2.83
5 In 0.1277 0.4352 0.6403  4 Pd 2.74-2.83
6 In 0.8723 0.5648 0.3597  4 Pd 2.74-2.83
7 In 0.2031 0.8723 0.3597  4 Pd 2.74-2.83
8 In 0.5648 0.2031 0.3597  4 Pd 2.74-2.83
9 Pd 0.2465 0.6505 0.1500  4 In 2.74-2.83, 2 Pd 2.96, 2 Nd 2.98-3.04
10 Pd 0.9530 0.2465 0.1500  4 In 2.74-2.83, 2 Pd 2.96, 2 Nd 2.98-3.04
11 Pd 0.6505 0.9530 0.1500  4 In 2.74-2.83, 2 Pd 2.96, 2 Nd 2.98-3.04
12 Pd 0.3495 0.0470 0.8500  4 In 2.74-2.83, 2 Pd 2.96, 2 Nd 2.98-3.04
13 Pd 0.0470 0.7535 0.8500  4 In 2.74-2.83, 2 Pd 2.96, 2 Nd 2.98-3.04
14 Pd 0.7535 0.3495 0.8500  4 In 2.74-2.83, 2 Pd 2.96, 2 Nd 2.98-3.04

=====

Record 4
Density functional theory data (GGA-PBE) for NdInPd after structural relaxation.

Values from the calculation:
Total magnetic moment in Bohr magnetons per cell: 0.00

Cell: 3.5103 3.5103 6.1990 Å, 106.45 106.45 90.00°
Last column: nearest neighbours and their distance in Å.
Fractional positions:
1 Nd 0.6267 0.6267 0.2533  4 Pd 3.16, 5 In 3.38-3.39, 4 Nd 3.51
2 Pd 0.2994 0.2994 0.5988  4 In 2.86, 4 Nd 3.16
3 In 0.9239 0.9239 0.8479  4 Pd 2.86

=====

Record 5
Density functional theory data (GGA-PBE) for Nd4InPd after structural relaxation.

Values from the calculation:
Total magnetic moment in Bohr magnetons per cell: 0.00

Cell: 5.5616 6.5928 10.9270 Å, 90.00 104.74 90.00°
Last column: nearest neighbours and their distance in Å.
Fractional positions:
1 Nd 0.8932 0.3083 0.7863  2 Pd 2.84
2 Nd 0.1068 0.8083 0.2137  2 Pd 2.84
3 Nd 0.4469 0.8402 0.8939  1 Pd 2.81
4 Nd 0.5531 0.3402 0.1061  1 Pd 2.81
5 Nd 0.7088 0.5587 0.4177  5 Nd 3.21-3.59, 1 Pd 3.27, 3 In 3.40-3.41
6 Nd 0.2912 0.0587 0.5823  5 Nd 3.21-3.59, 1 Pd 3.27, 3 In 3.40-3.41
7 Nd 0.6956 0.0734 0.3913  1 Pd 2.91, 1 Nd 3.21
8 Nd 0.3044 0.5734 0.6087  1 Pd 2.91, 1 Nd 3.21
9 In 0.8476 0.8197 0.6952  10 Nd 3.35-3.62
10 In 0.1524 0.3197 0.3048  10 Nd 3.35-3.62
11 Pd 0.5801 0.8331 0.1602  4 Nd 2.81-2.91
12 Pd 0.4199 0.3331 0.8398  4 Nd 2.81-2.91

=====

Record 6
Density functional theory data (GGA-PBE) for Nd2In12Pd7 after structural relaxation.

Values from the calculation:
Total magnetic moment in Bohr magnetons per cell: 0.00

Cell: 4.0656 11.3863 11.3863 Å, 120.00 90.00 90.00°
Last column: nearest neighbours and their distance in Å.
Fractional positions:
1 Nd 0.5000 0.0000 0.0000  6 Pd 3.40, 6 In 3.48
2 Nd 0.0000 0.6667 0.3333  6 Pd 3.30, 6 In 3.56
3 In 0.5000 0.8957 0.6101  4 Pd 2.71-2.83
4 In 0.5000 0.7144 0.1043  4 Pd 2.71-2.83
5 In 0.5000 0.3899 0.2856  4 Pd 2.71-2.83
6 In 0.5000 0.2427 0.8020  5 Pd 2.91-3.03, 2 In 3.19
7 In 0.5000 0.5593 0.7573  5 Pd 2.91-3.03, 2 In 3.19
8 In 0.5000 0.1980 0.4407  5 Pd 2.91-3.03, 2 In 3.19
9 In 0.0000 0.0547 0.5457  4 Pd 2.75-2.82, 2 In 3.05
10 In 0.0000 0.4910 0.9453  4 Pd 2.75-2.82, 2 In 3.05
11 In 0.0000 0.4543 0.5090  4 Pd 2.75-2.82, 2 In 3.05
12 In 0.0000 0.7832 0.7302  4 Pd 2.73-2.83
13 In 0.0000 0.9470 0.2168  4 Pd 2.73-2.83
14 In 0.0000 0.2698 0.0530  4 Pd 2.73-2.83
15 Pd 0.0000 0.3333 0.6667  9 In 2.76-3.03
16 Pd 0.0000 0.0564 0.7939  7 In 2.73-2.91
17 Pd 0.0000 0.7375 0.9436  7 In 2.73-2.91
18 Pd 0.0000 0.2061 0.2625  7 In 2.73-2.91
19 Pd 0.5000 0.6308 0.5419  7 In 2.71-2.94
20 Pd 0.5000 0.9112 0.3692  7 In 2.71-2.94
21 Pd 0.5000 0.4581 0.0888  7 In 2.71-2.94

=====

Record 7
Density functional theory data (GGA-PBE) for NdIn2Pd7 after structural relaxation.

Values from the calculation:
Total magnetic moment in Bohr magnetons per cell: 0.00

Cell: 4.5652 7.3118 7.7334 Å, 118.21 90.00 90.00°
Last column: nearest neighbours and their distance in Å.
Fractional positions:
1 Nd 0.0000 0.0000 0.0000  10 Pd 2.75-3.03
2 In 0.5000 0.7011 0.4023  7 Pd 2.64-2.93
3 In 0.5000 0.2989 0.5977  7 Pd 2.64-2.93
4 Pd 0.0000 0.7983 0.5966  2 In 2.64, 1 Nd 2.75, 4 Pd 2.94
5 Pd 0.0000 0.2017 0.4034  2 In 2.64, 1 Nd 2.75, 4 Pd 2.94
6 Pd 0.5000 0.7092 0.7848  2 In 2.64-2.93, 5 Pd 2.68-2.94
7 Pd 0.5000 0.2908 0.2152  2 In 2.64-2.93, 5 Pd 2.68-2.94
8 Pd 0.5000 0.9244 0.2152  2 In 2.64-2.93, 5 Pd 2.68-2.94
9 Pd 0.5000 0.0756 0.7848  2 In 2.64-2.93, 5 Pd 2.68-2.94
10 Pd 0.5000 0.5000 0.0000  2 In 2.74, 4 Pd 2.74

=====

Record 8
Density functional theory data (GGA-PBE) for Nd3InPd4 after structural relaxation.

Values from the calculation:
Total magnetic moment in Bohr magnetons per cell: 0.00

Cell: 3.9921 6.6426 8.4564 Å, 113.11 103.65 90.00°
Last column: nearest neighbours and their distance in Å.
Fractional positions:
1 Nd 0.0000 0.5000 0.0000  8 Pd 3.07
2 Nd 0.1905 0.1902 0.3810  6 Pd 2.97-3.06
3 Nd 0.8095 0.8098 0.6190  6 Pd 2.97-3.06
4 In 0.5000 0.0000 0.0000  4 Pd 2.74
5 Pd 0.3735 0.5761 0.7470  1 Pd 2.69, 1 In 2.74, 2 Nd 2.97
6 Pd 0.6265 0.4239 0.2530  1 Pd 2.69, 1 In 2.74, 2 Nd 2.97
7 Pd 0.6264 0.8287 0.2527  1 Pd 2.69, 1 In 2.74, 2 Nd 2.97
8 Pd 0.3736 0.1713 0.7473  1 Pd 2.69, 1 In 2.74, 2 Nd 2.97

=====

Energy list, top to bottom, in eV/f.u.: -20.86; -20.05; -32.00; -14.40; -28.73; -88.86; -48.06; -43.06